Compound: Ti6Zn2Ir
Source: the Alexandria database
Functional: PBE-GGA
Structure: relaxed

Properties
Total DFT energy (no corrections) ... -121.11 eV/cell
Theoretical density ... 6.84 g/cm³
ΔH_f (0 K) ... -1.77 eV per formula unit
M_tot ... 0.00 μB per formula unit

Cell: 7.279 7.279 7.279 Å, 111.90 110.22 106.35°
Positions (direct):
Ti: 0.056 0.236 0.820
Ti: 0.259 0.314 0.573
Ti: 0.259 0.686 0.945
Ti: 0.275 0.584 0.309
Ti: 0.275 0.966 0.691
Ti: 0.416 0.236 0.180
Ti: 0.584 0.764 0.820
Ti: 0.725 0.034 0.309
Ti: 0.725 0.416 0.691
Ti: 0.741 0.314 0.055
Ti: 0.741 0.686 0.427
Ti: 0.944 0.764 0.180
Zn: 0.000 0.147 0.147
Zn: 0.000 0.853 0.853
Zn: 0.356 0.000 0.356
Zn: 0.644 0.000 0.644
Ir: 0.000 0.500 0.500
Ir: 0.500 0.500 0.000